A plane-wave DFT calculation with PBE was carried out for a geometry-optimized LiNbOs2 structure.

Values from the calculation:
DFT total energy (eV per atom): -8.42

abc: 6.1634 6.1634 6.1634
angles: 90.00 90.00 90.00
Last column: nearest neighbours and their distance in Å.
Atoms (fractional coordinates):
Li 0.0000 0.0000 0.0000  4 Nb 2.67, 4 Os 2.67
Li 0.0000 0.5000 0.5000  4 Nb 2.67, 4 Os 2.67
Li 0.5000 0.0000 0.5000  4 Nb 2.67, 4 Os 2.67
Li 0.5000 0.5000 0.0000  4 Nb 2.67, 4 Os 2.67
Nb 0.2500 0.2500 0.2500  4 Li 2.67, 4 Os 2.67
Nb 0.2500 0.7500 0.7500  4 Li 2.67, 4 Os 2.67
Nb 0.7500 0.2500 0.7500  4 Li 2.67, 4 Os 2.67
Nb 0.7500 0.7500 0.2500  4 Li 2.67, 4 Os 2.67
Os 0.0000 0.0000 0.5000  4 Nb 2.67, 4 Os 2.67
Os 0.0000 0.5000 0.0000  4 Nb 2.67, 4 Os 2.67
Os 0.2500 0.2500 0.7500  4 Li 2.67, 4 Os 2.67
Os 0.2500 0.7500 0.2500  4 Li 2.67, 4 Os 2.67
Os 0.5000 0.0000 0.0000  4 Nb 2.67, 4 Os 2.67
Os 0.5000 0.5000 0.5000  4 Os 2.67, 4 Nb 2.67
Os 0.7500 0.2500 0.2500  4 Li 2.67, 4 Os 2.67
Os 0.7500 0.7500 0.7500  4 Os 2.67, 4 Li 2.67